Compound: MoBr2
Source: OQMD
Functional: PBE
Structure: relaxed

## Properties
The density is 4.9 g/cm3. Its crystal system is orthorhombic. For the energy above the lowest structure with this stoichiometry, the calculation gives 0.00 eV per formula unit. Its total energy is -193.75 eV/cell.

Lattice parameters (Å, degrees): 9.5069 9.5069 11.8668 90.00 90.00 77.09
Closest atoms and distances in Å follow each position.
Atoms (fractional coordinates):
Br1 0.2013 0.0471 0.7925  3 Mo 2.62-2.63
Br2 0.9529 0.7987 0.7925  3 Mo 2.62-2.63
Br3 0.0834 0.6678 0.0771  3 Mo 2.62-2.63
Br4 0.0471 0.2013 0.2075  3 Mo 2.62-2.63
Br5 0.7987 0.9529 0.2075  3 Mo 2.62-2.63
Br6 0.7010 0.7010 0.0000  1 Mo 2.57
Br7 0.2010 0.2010 0.5000  1 Mo 2.57
Br8 0.6678 0.0834 0.9229  3 Mo 2.62-2.63
Br9 0.2987 0.4529 0.2925  3 Mo 2.62-2.63
Br10 0.1458 0.8542 0.3540  2 Mo 2.67
Br11 0.3322 0.9166 0.0771  3 Mo 2.62-2.63
Br12 0.7990 0.7990 0.5000  1 Mo 2.57
Br13 0.7013 0.5471 0.7075  3 Mo 2.62-2.63
Br14 0.4529 0.2987 0.7075  3 Mo 2.62-2.63
Br15 0.2990 0.2990 0.0000  1 Mo 2.57
Br16 0.6458 0.3542 0.1460  2 Mo 2.67
Br17 0.1678 0.5834 0.5771  3 Mo 2.62-2.63
Br18 0.3542 0.6458 0.8540  2 Mo 2.67
Br19 0.5471 0.7013 0.2925  3 Mo 2.62-2.63
Br20 0.8542 0.1458 0.6460  2 Mo 2.67
Br21 0.9166 0.3322 0.9229  3 Mo 2.62-2.63
Br22 0.8322 0.4166 0.4229  3 Mo 2.62-2.63
Br23 0.4166 0.8322 0.5771  3 Mo 2.62-2.63
Br24 0.5834 0.1678 0.4229  3 Mo 2.62-2.63
Mo1 0.8738 0.8738 0.0000  5 Br 2.57-2.63, 4 Mo 2.65
Mo2 0.9340 0.0660 0.8568  5 Br 2.62-2.67, 4 Mo 2.64-2.65
Mo3 0.1433 0.8567 0.9342  5 Br 2.62-2.67, 4 Mo 2.64-2.65
Mo4 0.3567 0.6433 0.4342  5 Br 2.62-2.67, 4 Mo 2.64-2.65
Mo5 0.1262 0.1262 0.0000  5 Br 2.57-2.63, 4 Mo 2.65
Mo6 0.6433 0.3567 0.5658  5 Br 2.62-2.67, 4 Mo 2.64-2.65
Mo7 0.4340 0.5660 0.6432  5 Br 2.62-2.67, 4 Mo 2.64-2.65
Mo8 0.3738 0.3738 0.5000  5 Br 2.57-2.63, 4 Mo 2.65
Mo9 0.0660 0.9340 0.1432  5 Br 2.62-2.67, 4 Mo 2.64-2.65
Mo10 0.5660 0.4340 0.3568  5 Br 2.62-2.67, 4 Mo 2.64-2.65
Mo11 0.6262 0.6262 0.5000  5 Br 2.57-2.63, 4 Mo 2.65
Mo12 0.8567 0.1433 0.0658  5 Br 2.62-2.67, 4 Mo 2.64-2.65